VASP calculation (GGA-PBE) on a relaxed structure of TbErO3. Values from VASP.

Geometry as Quantum ESPRESSO input:
```
&SYSTEM
  ibrav = 0, nat = 5, ntyp = 3
/
ATOMIC_SPECIES
Tb 158.93 Tb.upf
Er 167.26 Er.upf
O 16.00 O.upf
CELL_PARAMETERS angstrom
4.248 0.000 0.000
0.000 4.248 0.000
0.000 0.000 4.248
ATOMIC_POSITIONS angstrom
Tb 0.000 0.000 0.000
Er 2.124 2.124 2.124
O 0.000 2.124 2.124
O 2.124 0.000 2.124
O 2.124 2.124 0.000
```

Properties
Formation energy (no corrections)   -267.8 kJ/mol of atoms